[1]
{
  "formula": "CaMg3Cu8",
  "functional": "GGA-PBE",
  "state": "optimized geometry",
  "cell": [[-3.715, -2.812, 1.985], [-2.095, -3.718, -2.727], [3.646, -7.478, 2.691]],
  "species": ["Ca", "Mg", "Mg", "Mg", "Cu", "Cu", "Cu", "Cu", "Cu", "Cu", "Cu", "Cu"],
  "frac_coords": [[0.875, 0.875, 0.374], [0.374, 0.374, 0.878], [0.005, 0.005, 0.986], [0.493, 0.493, 0.520], [0.941, 0.439, 0.180], [0.434, 0.937, 0.692], [0.439, 0.439, 0.180], [0.937, 0.937, 0.692], [0.187, 0.187, 0.439], [0.688, 0.688, 0.936], [0.439, 0.941, 0.180], [0.937, 0.434, 0.692]],
  "dos_ef_per_ev_fu": 6.101,
  "volume_a3_per_atom": 15.25,
  "total_energy_ev_per_atom": -3.43
}

[2]
{
  "formula": "SiPPtCl2",
  "functional": "GGA-PBE",
  "state": "optimized geometry",
  "cell": [[4.372, 0.000, 0.000], [0.000, 4.372, 0.000], [0.000, 0.000, 5.055]],
  "species": ["P", "Si", "Pt", "Cl", "Cl"],
  "frac_coords": [[0.000, 0.000, 0.500], [0.000, 0.000, 0.000], [0.500, 0.500, 0.500], [0.000, 0.500, 0.000], [0.500, 0.000, 0.000]],
  "e_form_raw_kj_per_mol_fu": 287,
  "dos_ef_per_ev_fu": 4.158,
  "relative_energy_mev_per_atom": 52,
  "volume_a3_per_atom": 19.32,
  "total_energy_ev_per_atom": -3.52
}

[3]
{
  "formula": "Pr6Si2TeS3",
  "functional": "GGA-PBE",
  "state": "optimized geometry",
  "cell": [[4.253, 0.000, 0.000], [0.000, 8.559, 0.387], [-2.127, -2.386, 8.936]],
  "species": ["Pr", "Pr", "Pr", "Pr", "Pr", "Pr", "Si", "Si", "Te", "S", "S", "S"],
  "frac_coords": [[0.326, 0.904, 0.651], [0.667, 0.584, 0.335], [0.674, 0.096, 0.349], [0.004, 0.274, 0.007], [0.996, 0.726, 0.993], [0.333, 0.416, 0.665], [0.833, 0.665, 0.666], [0.167, 0.335, 0.334], [0.500, 0.000, 0.000], [0.500, 0.500, 0.000], [0.836, 0.164, 0.672], [0.164, 0.836, 0.328]],
  "e_form_raw_kj_per_mol_fu": -1723,
  "dos_ef_per_ev_fu": 4.361,
  "volume_a3_per_atom": 27.43,
  "total_energy_ev_per_atom": -6.08
}

[4]
{
  "formula": "PrNdGaIr",
  "functional": "GGA-PBE",
  "state": "optimized geometry",
  "cell": [[-2.593, -2.967, 1.717], [3.253, -1.498, 2.325], [0.009, 4.942, 3.172]],
  "species": ["Pr", "Nd", "Ga", "Ir"],
  "frac_coords": [[0.145, 0.000, 0.289], [0.863, 0.500, 0.725], [0.566, 0.500, 0.132], [0.427, 0.000, 0.854]],
  "dos_ef_per_ev_fu": 3.954,
  "relative_energy_mev_per_atom": 0,
  "volume_a3_per_atom": 25.08,
  "total_energy_ev_per_atom": -5.98
}